Material: PmVBrO4
Method: DFT, PBE+U
State: relaxed

Structure (CIF):
```
data_PmVBrO4
_space_group_name_H-M_alt 'C 1 2/m 1'
_space_group_IT_number 12
_cell_length_a 12.021
_cell_length_b 6.510
_cell_length_c 6.922
_cell_angle_alpha 90.00
_cell_angle_beta 102.55
_cell_angle_gamma 90.00
loop_
_space_group_symop_operation_xyz
'x,y,z'
'-x,-y,-z'
'-x,y,-z'
'x,-y,z'
'x+1/2,y+1/2,z'
'-x+1/2,-y+1/2,-z'
'-x+1/2,y+1/2,-z'
'x+1/2,-y+1/2,z'
loop_
_atom_site_label
_atom_site_fract_x
_atom_site_fract_y
_atom_site_fract_z
Pm1 0.206 0.000 0.336
V1 0.133 0.000 0.758
Br1 0.021 0.500 0.170
O1 0.012 0.000 0.265
O2 0.177 0.208 0.624
O3 0.201 0.000 0.002
```

energy	-7.018	eV per atom

Material: PmWBrO4
Method: DFT, PBE+U
State: relaxed

Structure (CIF):
```
data_PmWBrO4
_space_group_name_H-M_alt 'C 1 2/m 1'
_space_group_IT_number 12
_cell_length_a 10.798
_cell_length_b 7.495
_cell_length_c 7.117
_cell_angle_alpha 90.00
_cell_angle_beta 106.95
_cell_angle_gamma 90.00
loop_
_space_group_symop_operation_xyz
'x,y,z'
'-x,-y,-z'
'-x,y,-z'
'x,-y,z'
'x+1/2,y+1/2,z'
'-x+1/2,-y+1/2,-z'
'-x+1/2,y+1/2,-z'
'x+1/2,-y+1/2,z'
loop_
_atom_site_label
_atom_site_fract_x
_atom_site_fract_y
_atom_site_fract_z
Pm1 0.230 0.000 0.122
W1 0.135 0.500 0.264
Br1 0.012 0.000 0.755
O1 0.039 0.500 0.803
O2 0.196 0.312 0.152
O3 0.200 0.500 0.528
```

energy	-7.148	eV per atom